Entry 1:
Here is InCoSe2 after structural relaxation from Alexandria. Energies are from PBE.

The value obtained for the uncorrected formation energy is 0.3681 eV per atom. For the final energy, the calculation gives -3.84 eV per atom. The calculation puts the density of states at the Fermi level at 0.911 states/eV/atom. The crystal system is trigonal. The calculation puts the spin magnetization at 1.4 μB per formula unit.

The structure belongs to space group R-3m (No. 166, hexagonal axes); the cell edges are 3.0660, 3.0660 and 31.2324 Å and the angles 90.00°, 90.00° and 120.00°. The inequivalent atoms are In at (0.0000, 0.0000, 0.0000), Co at (0.0000, 0.0000, 0.5000) and Se at (0.0000, 0.0000, 0.4281).

=====

Entry 2:
Here is InCoSe2 after structural relaxation from Alexandria. Energies are from PBE.

The value obtained for the uncorrected formation energy is 0.1072 eV per atom. For the final energy, the calculation gives -4.10 eV per atom. The calculation puts the density of states at the Fermi level at 0.997 states/eV/atom. The crystal system is orthorhombic. The calculation puts the spin magnetization at 1.1 μB per formula unit.

The structure belongs to space group Cmmm (No. 65); the cell edges are 3.6774, 5.1262 and 8.8360 Å and the angles 90.00°, 90.00° and 90.00°. The inequivalent atoms are In at (0.0000, 0.0000, 0.0000), Co at (0.0000, 0.0000, 0.5000) and Se at (0.0000, 0.5000, 0.3260).

=====

Entry 3:
Here is InCoSe2 after structural relaxation from Alexandria. Energies are from PBE.

The value obtained for the uncorrected formation energy is -0.2328 eV per atom. For the final energy, the calculation gives -4.44 eV per atom. The calculation puts the density of states at the Fermi level at 0.562 states/eV/atom. The crystal system is monoclinic. The calculation puts the spin magnetization at 0.0 μB per formula unit.

The structure belongs to space group C2/m (No. 12); the cell edges are 6.3190, 3.6485 and 7.4101 Å and the angles 90.00°, 106.34° and 90.00°. The inequivalent atoms are In at (0.0000, 0.0000, 0.0000), Co at (0.0000, 0.5000, 0.5000) and Se at (0.2221, 0.0000, 0.6683).